1.
The following is a GGA-PBE calculation of crystalline Y2GaNiN at its relaxed geometry, from Alexandria.

Lattice parameters (Å, degrees): 4.828 4.828 3.808 90.00 90.00 90.00
Positions (direct):
Y  0.000  0.500  0.000
Y  0.500  0.000  0.000
Ga  0.000  0.000  0.500
Ni  0.500  0.500  0.500
N  0.500  0.500  0.000

## Properties
Formation energy from raw total energies = -0.779 eV per atom
Electronic total energy = -34.0 eV/f.u.
Density of states at the Fermi level = 3.58 states/eV/f.u.
SG = P4/mmm (123)

=====

2.
The following is a GGA-PBE calculation of crystalline MgBiN at its relaxed geometry, from Alexandria.

Lattice parameters (Å, degrees): 7.848 3.305 9.438 90.00 94.28 90.00
Positions (direct):
Mg  0.184  0.000  0.373
Mg  0.316  0.500  0.627
Mg  0.684  0.500  0.373
Mg  0.816  0.000  0.627
Bi  0.129  0.000  0.877
Bi  0.371  0.500  0.123
Bi  0.629  0.500  0.877
Bi  0.871  0.000  0.123
N  0.082  0.500  0.490
N  0.418  0.000  0.510
N  0.582  0.000  0.490
N  0.918  0.500  0.510

## Properties
Formation energy from raw total energies = 0.013 eV per atom
Electronic total energy = -13.8 eV/f.u.
Density of states at the Fermi level = 1.66 states/eV/f.u.
SG = C2/m (12)

=====

3.
The following is a GGA-PBE calculation of crystalline Pr9Os2I14 at its relaxed geometry, from Alexandria.

Lattice parameters (Å, degrees): 9.435 9.435 12.871 90.00 90.00 120.00
Positions (direct):
Pr  0.000  0.000  0.000
Pr  0.098  0.384  0.339
Pr  0.285  0.902  0.339
Pr  0.333  0.667  0.054
Pr  0.384  0.285  0.661
Pr  0.616  0.715  0.339
Pr  0.667  0.333  0.946
Pr  0.715  0.098  0.661
Pr  0.902  0.616  0.661
Os  0.333  0.667  0.262
Os  0.667  0.333  0.738
I  0.000  0.000  0.258
I  0.000  0.000  0.742
I  0.045  0.685  0.907
I  0.088  0.402  0.598
I  0.314  0.912  0.598
I  0.315  0.361  0.907
I  0.361  0.045  0.093
I  0.402  0.314  0.402
I  0.598  0.686  0.598
I  0.639  0.955  0.907
I  0.685  0.639  0.093
I  0.686  0.088  0.402
I  0.912  0.598  0.402
I  0.955  0.315  0.093

## Properties
Formation energy from raw total energies = -0.939 eV per atom
Electronic total energy = -110.6 eV/f.u.
Density of states at the Fermi level = 19.23 states/eV/f.u.
SG = P-3 (147)

=====

4.
The following is a GGA-PBE calculation of crystalline TbHoTmCd at its relaxed geometry, from Alexandria.

Lattice parameters (Å, degrees): 7.657 7.657 7.657 90.00 90.00 90.00
Positions (direct):
Tb  0.000  0.000  0.000
Tb  0.000  0.500  0.500
Tb  0.500  0.000  0.500
Tb  0.500  0.500  0.000
Ho  0.000  0.000  0.500
Ho  0.000  0.500  0.000
Ho  0.500  0.000  0.000
Ho  0.500  0.500  0.500
Tm  0.250  0.250  0.750
Tm  0.250  0.750  0.250
Tm  0.750  0.250  0.250
Tm  0.750  0.750  0.750
Cd  0.250  0.250  0.250
Cd  0.250  0.750  0.750
Cd  0.750  0.250  0.750
Cd  0.750  0.750  0.250

## Properties
Offset from the most stable computed form = 112 meV/atom
Electronic total energy = -14.7 eV/f.u.
Density of states at the Fermi level = 4.96 states/eV/f.u.
SG = F-43m (216)